[1]
DFT (PBE) results for an optimized crystal structure of CrAgAs2.

Lattice parameters (Å, degrees): 2.9161 2.9161 8.5888 90.00 90.00 90.00
Positions (direct):
1 Cr 0.0000 0.0000 0.0000
2 Ag 0.5000 0.5000 0.2388
3 As 0.0000 0.0000 0.4832
4 As 0.5000 0.5000 0.8204

Computed properties:
* raw total energy: -20.66 eV for the cell shown
* E_form: 0.279 eV/atom
* excess energy over the best structure of this formula in the dataset: 224 meV/atom
* DOS(E_F): 0.567 states/eV per atom

***

[2]
DFT (PBE) results for an optimized crystal structure of CrAg2As.

Lattice parameters (Å, degrees): 5.4024 5.4024 5.4024 137.96 137.77 61.10
Positions (direct):
1 Cr 0.0000 0.0000 0.0000
2 Ag 0.2502 0.7502 0.5000
3 Ag 0.7498 0.2498 0.5000
4 As 0.5000 0.5000 0.0000

Computed properties:
* raw total energy: -19.16 eV for the cell shown
* E_form: 0.204 eV/atom
* DOS(E_F): 0.355 states/eV per atom

***

[3]
DFT (PBE) results for an optimized crystal structure of CrAgAs2.

Lattice parameters (Å, degrees): 4.2420 4.2420 5.7208 103.14 103.14 47.94
Positions (direct):
1 Cr 0.0000 0.0000 0.0000
2 Ag 0.5000 0.5000 0.5000
3 As 0.2613 0.2613 0.7954
4 As 0.7387 0.7387 0.2046

Computed properties:
* raw total energy: -21.13 eV for the cell shown
* E_form: 0.161 eV/atom
* excess energy over the best structure of this formula in the dataset: 106 meV/atom
* DOS(E_F): 0.586 states/eV per atom